[1]
First-principles (PBE) data for an optimized crystal structure of LaTcH2, as listed in Alexandria via LeMat-Bulk.

Cell and atoms, written as CIF:
```
data_LaTcH2
_space_group_name_H-M_alt 'F m -3 m'
_space_group_IT_number 225
_space_group_name_Hall '-F 4 2 3'
_cell_length_a 5.891
_cell_length_b 5.891
_cell_length_c 5.891
_cell_angle_alpha 90.00
_cell_angle_beta 90.00
_cell_angle_gamma 90.00
loop_
_atom_site_label
_atom_site_fract_x
_atom_site_fract_y
_atom_site_fract_z
La1 0.000 0.000 0.000
Tc1 0.000 0.000 0.500
H1 0.250 0.250 0.250
```

Summary:
- E_tot (eV per atom) = -5.0927
- polymorph energy (0 for the lowest one) (meV per atom) = 430.7
- crystal system = cubic
- total moment (μB per atom) = 0.00

---

[2]
First-principles (PBE) data for an optimized crystal structure of LaTcH6, as listed in Alexandria via LeMat-Bulk.

Cell and atoms, written as CIF:
```
data_LaTcH6
_space_group_name_H-M_alt 'C 1 2/c 1'
_space_group_IT_number 15
_space_group_name_Hall '-C 2yc'
_cell_length_a 8.804
_cell_length_b 4.479
_cell_length_c 8.106
_cell_angle_alpha 90.00
_cell_angle_beta 102.87
_cell_angle_gamma 90.00
loop_
_atom_site_label
_atom_site_fract_x
_atom_site_fract_y
_atom_site_fract_z
La1 0.000 0.173 0.250
Tc1 0.250 0.250 0.000
H1 0.057 0.336 0.892
H2 0.142 0.063 0.540
H3 0.227 0.444 0.184
```

Summary:
- E_tot (eV per atom) = -4.5514
- crystal system = monoclinic
- total moment (μB per atom) = 0.25

---

[3]
First-principles (PBE) data for an optimized crystal structure of LaTcH2, as listed in Alexandria via LeMat-Bulk.

Cell and atoms, written as CIF:
```
data_LaTcH2
_space_group_name_H-M_alt 'I -4 2 d'
_space_group_IT_number 122
_space_group_name_Hall 'I -4 2bw'
_cell_length_a 4.385
_cell_length_b 4.385
_cell_length_c 11.254
_cell_angle_alpha 90.00
_cell_angle_beta 90.00
_cell_angle_gamma 90.00
loop_
_atom_site_label
_atom_site_fract_x
_atom_site_fract_y
_atom_site_fract_z
La1 0.000 0.000 0.000
Tc1 0.000 0.000 0.500
H1 0.106 0.250 0.625
```

Summary:
- E_tot (eV per atom) = -5.5233
- polymorph energy (0 for the lowest one) (meV per atom) = 0.0
- crystal system = tetragonal
- total moment (μB per atom) = 0.00

---

[4]
First-principles (PBE) data for an optimized crystal structure of LaTcH5, as listed in Alexandria via LeMat-Bulk.

Cell and atoms, written as CIF:
```
data_LaTcH5
_space_group_name_H-M_alt 'I m m 2'
_space_group_IT_number 44
_space_group_name_Hall 'I 2 -2'
_cell_length_a 5.476
_cell_length_b 7.249
_cell_length_c 3.963
_cell_angle_alpha 90.00
_cell_angle_beta 90.00
_cell_angle_gamma 90.00
loop_
_atom_site_label
_atom_site_fract_x
_atom_site_fract_y
_atom_site_fract_z
La1 0.000 0.000 0.000
Tc1 0.000 0.500 0.970
H1 0.000 0.297 0.770
H2 0.000 0.500 0.493
H3 0.188 0.000 0.495
```

Summary:
- E_tot (eV per atom) = -4.6694
- crystal system = orthorhombic
- total moment (μB per atom) = 0.07